{
  "formula": "NaScBe2",
  "functional": "PBE-GGA",
  "state": "optimized geometry",
  "dos_at_fermi_per_ev_cell": 2.67,
  "formation_enthalpy_0k_ev_per_atom": 0.5391,
  "lattice": [[0.000, 3.214, 3.214], [3.214, 0.000, 3.214], [3.214, 3.214, 0.000]],
  "species": ["Na", "Sc", "Be", "Be"],
  "frac_coords": [[0.000, 0.000, 0.000], [0.500, 0.500, 0.500], [0.250, 0.250, 0.250], [0.750, 0.750, 0.750]]
}



{
  "formula": "Al2PCl",
  "functional": "PBE-GGA",
  "state": "optimized geometry",
  "e_form_raw_ev_per_atom": -0.27,
  "dos_at_fermi_per_ev_cell": 2.54,
  "lattice": [[1.862, 1.075, 6.562], [-1.862, 1.075, 6.562], [0.000, -2.150, 6.562]],
  "species": ["Al", "Al", "P", "Cl"],
  "frac_coords": [[0.234, 0.234, 0.234], [0.766, 0.766, 0.766], [0.500, 0.500, 0.500], [0.000, 0.000, 0.000]]
}



{
  "formula": "Nd8TlCu2",
  "functional": "PBE-GGA",
  "state": "optimized geometry",
  "dos_at_fermi_per_ev_cell": 10.84,
  "formation_enthalpy_0k_ev_per_atom": -0.1071,
  "lattice": [[8.864, -2.549, 0.000], [8.864, 2.549, 0.000], [-3.218, 0.000, 7.245]],
  "species": ["Nd", "Nd", "Nd", "Nd", "Nd", "Nd", "Nd", "Nd", "Tl", "Cu", "Cu"],
  "frac_coords": [[0.046, 0.046, 0.261], [0.187, 0.187, 0.794], [0.317, 0.317, 0.519], [0.406, 0.406, 0.033], [0.594, 0.594, 0.967], [0.683, 0.683, 0.481], [0.813, 0.813, 0.206], [0.954, 0.954, 0.739], [0.500, 0.500, 0.500], [0.189, 0.189, 0.158], [0.811, 0.811, 0.842]]
}



{
  "formula": "Cd2GaF6",
  "functional": "PBE-GGA",
  "state": "optimized geometry",
  "e_form_raw_ev_per_atom": -2.20,
  "dos_at_fermi_per_ev_cell": 2.34,
  "lattice": [[5.192, 0.000, 0.000], [0.000, 5.192, 0.000], [0.000, 0.000, 10.172]],
  "species": ["Cd", "Cd", "Cd", "Cd", "Ga", "Ga", "F", "F", "F", "F", "F", "F", "F", "F", "F", "F", "F", "F"],
  "frac_coords": [[0.000, 0.000, 0.162], [0.000, 0.000, 0.838], [0.500, 0.500, 0.338], [0.500, 0.500, 0.662], [0.000, 0.000, 0.500], [0.500, 0.500, 0.000], [0.181, 0.181, 0.357], [0.181, 0.181, 0.643], [0.235, 0.235, 0.000], [0.265, 0.735, 0.500], [0.319, 0.681, 0.143], [0.319, 0.681, 0.857], [0.681, 0.319, 0.143], [0.681, 0.319, 0.857], [0.735, 0.265, 0.500], [0.765, 0.765, 0.000], [0.819, 0.819, 0.357], [0.819, 0.819, 0.643]]
}



{
  "formula": "Ba2Li3SnSb4",
  "functional": "PBE-GGA",
  "state": "optimized geometry",
  "e_form_raw_ev_per_atom": -0.69,
  "dos_at_fermi_per_ev_cell": 1.06,
  "lattice": [[5.060, 0.000, 0.000], [0.000, 5.060, 0.000], [0.000, 0.000, 11.325]],
  "species": ["Ba", "Ba", "Li", "Li", "Li", "Sn", "Sb", "Sb", "Sb", "Sb"],
  "frac_coords": [[0.000, 0.500, 0.238], [0.500, 0.000, 0.762], [0.000, 0.500, 0.881], [0.500, 0.000, 0.119], [0.500, 0.500, 0.500], [0.000, 0.000, 0.500], [0.000, 0.000, 0.000], [0.000, 0.500, 0.636], [0.500, 0.000, 0.364], [0.500, 0.500, 0.000]]
}



{
  "formula": "CdReTc",
  "functional": "PBE-GGA",
  "state": "optimized geometry",
  "dos_at_fermi_per_ev_cell": 3.52,
  "formation_enthalpy_0k_ev_per_atom": 0.1586,
  "lattice": [[2.958, 0.000, 0.000], [0.000, 2.958, 0.000], [0.000, 0.000, 11.631]],
  "species": ["Cd", "Cd", "Re", "Re", "Tc", "Tc"],
  "frac_coords": [[0.250, 0.250, 0.104], [0.750, 0.750, 0.896], [0.250, 0.250, 0.418], [0.750, 0.750, 0.582], [0.250, 0.250, 0.714], [0.750, 0.750, 0.286]]
}